This record from Alexandria via LeMat-Bulk describes an optimized crystal structure of LaHfBeC2. The functional is PBE.

The structure belongs to space group P4/mmm (No. 123); the cell edges are 4.085, 4.085 and 4.344 Å and the angles 90.00°, 90.00° and 90.00°. Symmetry generates all atoms from La at (0.000, 0.000, 0.000), Hf at (0.500, 0.500, 0.000), Be at (0.500, 0.500, 0.500) and C at (0.000, 0.500, 0.500).

The value obtained for the formation enthalpy at 0 K is 1.513 eV per atom.